A crystal of In2SbPdPb relaxed with PBEsol. Source: Alexandria via LeMat-Bulk, functional SCAN.

Computed properties:
- E_form (uncorrected) (meV/atom) = 1006

abc: 5.541 5.541 5.661
angles: 90.00 90.00 90.00
Space group P4/mmm (No. 123)
One atom of each set of equivalent atoms:
In  0.000  0.500  0.000 x2
Sb  0.000  0.000  0.500 x1
Pd  0.500  0.500  0.500 x1
Pb  0.000  0.000  0.000 x1

***

A crystal of InPtPb2 relaxed with PBEsol. Source: Alexandria via LeMat-Bulk, functional SCAN.

Computed properties:
- energy of formation from the pure elements (meV per atom) = -71

abc: 3.7971 3.7971 24.6774
angles: 90.00 90.00 120.00
Space group R-3m (No. 166, hexagonal axes)
One atom of each set of equivalent atoms:
In  0.0000  0.0000  0.0000 x3
Pt  0.0000  0.0000  0.5000 x3
Pb  0.0000  0.0000  0.2355 x6

***

A crystal of InPt3Pb relaxed with PBEsol. Source: Alexandria via LeMat-Bulk, functional SCAN.

Computed properties:
- energy of formation from the pure elements (meV per atom) = 801

abc: 4.913 4.913 4.913
angles: 90.00 90.00 90.00
Space group Pm-3m (No. 221)
One atom of each set of equivalent atoms:
In  0.000  0.000  0.000 x1
Pt  0.000  0.000  0.500 x3
Pb  0.500  0.500  0.500 x1

***

A crystal of In5Pt2Pb4 relaxed with PBEsol. Source: Alexandria via LeMat-Bulk, functional SCAN.

Computed properties:
- energy of formation from the pure elements (meV per atom) = -96

abc: 8.035 19.748 3.335
angles: 90.00 90.00 90.00
Space group Pbam (No. 55)
One atom of each set of equivalent atoms:
In  0.000  0.000  0.000 x2
In  0.143  0.289  0.000 x4
In  0.169  0.602  0.000 x4
Pt  0.142  0.715  0.500 x4
Pb  0.001  0.151  0.500 x4
Pb  0.163  0.446  0.500 x4

***

A crystal of In2SiPtPb relaxed with PBEsol. Source: Alexandria via LeMat-Bulk, functional SCAN.

Computed properties:
- E_form (uncorrected) (meV/atom) = 266

abc: 5.227 5.227 4.532
angles: 90.00 90.00 90.00
Space group P4/mmm (No. 123)
One atom of each set of equivalent atoms:
In  0.000  0.500  0.000 x2
Si  0.000  0.000  0.000 x1
Pt  0.000  0.000  0.500 x1
Pb  0.500  0.500  0.500 x1

***

A crystal of RbIn2Pb2 relaxed with PBEsol. Source: Alexandria via LeMat-Bulk, functional SCAN.

Computed properties:
- energy of formation from the pure elements (meV per atom) = -275

abc: 5.185 5.185 12.187
angles: 90.00 90.00 90.00
Space group I4/mmm (No. 139)
One atom of each set of equivalent atoms:
Rb  0.000  0.000  0.000 x2
In  0.000  0.000  0.384 x4
Pb  0.000  0.500  0.250 x4